A relaxed TcSn2Pb crystal. Source: Alexandria, functional PBE-GGA.

total magnetic moment	0.00	μB/atom
calculated volume	92.6	Å³/cell
N(E_F)	0.656	states/eV/atom
formation energy	141	meV per atom

```
TcSn2Pb
1.0
3.3373 0.0000 0.0000
0.0000 3.3373 0.0000
0.0000 0.0000 8.3123
Tc Sn Pb
1 2 1
Direct
0.0000 0.0000 0.0000
0.5000 0.5000 0.1891
0.5000 0.5000 0.8109
0.0000 0.0000 0.5000
```